An optimized crystal structure of CeEr3Zr2N6. Source: Alexandria via LeMat-Bulk, functional PBE.

Geometry as POSCAR:
```
CeEr3Zr2N6
1.0
-2.734 1.713 -1.009
-3.388 -5.843 -0.738
-0.032 1.037 7.508
N Er Zr Ce
6 3 2 1
direct
0.994 0.742 0.988
0.006 0.258 0.012
0.670 0.578 0.340
0.670 0.096 0.339
0.330 0.904 0.661
0.330 0.422 0.660
0.832 0.169 0.664
0.500 0.500 0.000
0.168 0.831 0.336
0.831 0.661 0.662
0.169 0.339 0.338
0.500 0.000 0.000
```

Results
Raw total energy   -8.931 eV/atom
Energy relative to the elements, uncorrected   -1.71 eV/atom
Crystal system   monoclinic

***

An optimized crystal structure of Ce2ErZrN4. Source: Alexandria via LeMat-Bulk, functional PBE.

Geometry as POSCAR:
```
Ce2ErZrN4
1.0
-3.197 -0.918 0.815
-1.080 -1.296 -5.699
2.119 -4.915 2.776
N Er Zr Ce
4 1 1 2
direct
0.000 0.246 0.766
0.000 0.754 0.234
0.500 0.765 0.771
0.500 0.235 0.229
0.500 0.500 0.000
0.000 0.000 0.000
0.000 0.500 0.500
0.500 0.000 0.500
```

Results
Raw total energy   -8.918 eV/atom
Energy relative to the elements, uncorrected   -1.63 eV/atom
Crystal system   monoclinic

***

An optimized crystal structure of Ce3ErZr2N6. Source: Alexandria via LeMat-Bulk, functional PBE.

Geometry as POSCAR:
```
Ce3ErZr2N6
1.0
5.902 -0.001 0.001
-2.951 5.112 0.001
-0.984 -1.703 5.687
Er Zr N Ce
1 2 6 3
direct
0.000 0.000 0.000
0.667 0.333 0.000
0.333 0.667 0.000
0.924 0.582 0.771
0.418 0.076 0.229
0.582 0.924 0.771
0.266 0.266 0.773
0.734 0.734 0.227
0.076 0.418 0.229
0.834 0.166 0.500
0.166 0.834 0.500
0.500 0.500 0.500
```

Results
Raw total energy   -9.091 eV/atom
Energy relative to the elements, uncorrected   -1.64 eV/atom
Crystal system   monoclinic

***

An optimized crystal structure of Ce3Er2ZrN6. Source: Alexandria via LeMat-Bulk, functional PBE.

Geometry as POSCAR:
```
Ce3Er2ZrN6
1.0
-3.979 -4.005 -1.961
0.761 0.826 5.870
-2.959 5.088 -1.347
Er Ce N Zr
2 3 6 1
direct
0.667 0.333 0.000
0.333 0.667 0.000
0.833 0.167 0.500
0.167 0.833 0.500
0.500 0.500 0.500
0.078 0.400 0.235
0.400 0.078 0.235
0.600 0.922 0.765
0.244 0.244 0.763
0.756 0.756 0.237
0.922 0.600 0.765
0.000 0.000 0.000
```

Results
Raw total energy   -8.748 eV/atom
Energy relative to the elements, uncorrected   -1.63 eV/atom
Crystal system   monoclinic

***

An optimized crystal structure of CeErZrN3. Source: Alexandria via LeMat-Bulk, functional PBE.

Geometry as POSCAR:
```
CeErZrN3
1.0
-3.360 -0.542 0.166
0.355 -0.415 5.839
-1.454 8.632 -1.233
N Ce Zr Er
6 2 2 2
direct
0.250 0.751 0.491
0.750 0.553 0.172
0.250 0.955 0.837
0.250 0.447 0.828
0.750 0.045 0.163
0.750 0.249 0.509
0.750 0.649 0.690
0.250 0.351 0.310
0.250 0.137 0.638
0.750 0.863 0.362
0.750 0.231 0.954
0.250 0.769 0.046
```

Results
Raw total energy   -8.893 eV/atom
Energy relative to the elements, uncorrected   -1.56 eV/atom
Crystal system   monoclinic

***

An optimized crystal structure of NaCeEr2. Source: Alexandria via LeMat-Bulk, functional PBE.

Geometry as POSCAR:
```
NaCeEr2
1.0
3.485 0.000 0.000
0.000 3.485 0.000
0.000 0.000 10.344
Na Er Ce
1 2 1
direct
0.500 0.500 0.500
0.000 0.000 0.777
0.000 0.000 0.223
0.500 0.500 0.000
```

Results
Raw total energy   -3.932 eV/atom
Distance to the lowest polymorph of the same formula   0.000 eV per atom
Calculated formation energy   0.16 eV per atom
Crystal system   tetragonal

***

An optimized crystal structure of NaCeEr2. Source: Alexandria via LeMat-Bulk, functional PBE.

Geometry as POSCAR:
```
NaCeEr2
1.0
3.442 0.000 0.000
1.721 2.981 0.000
1.721 0.994 12.398
Na Er Ce
1 2 1
direct
0.000 0.000 0.000
0.093 0.093 0.721
0.907 0.907 0.279
0.500 0.500 0.500
```

Results
Raw total energy   -3.905 eV/atom
Distance to the lowest polymorph of the same formula   0.027 eV per atom
Calculated formation energy   0.19 eV per atom
Crystal system   trigonal

***

An optimized crystal structure of NaCeEr. Source: Alexandria via LeMat-Bulk, functional PBE.

Geometry as POSCAR:
```
NaCeEr
1.0
-3.216 -0.961 -1.942
1.369 -3.594 -0.489
-5.676 -3.691 11.228
Ce Na Er
2 2 2
direct
0.500 0.500 0.000
0.000 0.000 0.000
0.500 0.000 0.583
0.000 0.500 0.417
0.000 0.500 0.773
0.500 0.000 0.227
```

Results
Raw total energy   -3.472 eV/atom
Calculated formation energy   0.47 eV per atom
Crystal system   tetragonal

***

An optimized crystal structure of NaCeEr4O8. Source: Alexandria via LeMat-Bulk, functional PBE.

Geometry as POSCAR:
```
NaCeEr4O8
1.0
6.780 0.000 0.000
3.390 5.872 0.000
3.390 1.957 5.661
O Na Ce Er
8 1 1 4
direct
0.238 0.801 0.723
0.233 0.233 0.302
0.238 0.238 0.723
0.801 0.238 0.723
0.757 0.757 0.729
0.750 0.750 0.268
0.750 0.233 0.268
0.233 0.750 0.268
0.376 0.376 0.871
0.002 0.002 0.994
0.492 0.003 0.502
0.625 0.625 0.126
0.003 0.492 0.502
0.003 0.003 0.502
```

Results
Raw total energy   -7.892 eV/atom
Energy relative to the elements, uncorrected   -3.24 eV/atom
Crystal system   trigonal

***

An optimized crystal structure of Na2CeErO4. Source: Alexandria via LeMat-Bulk, functional PBE.

Geometry as POSCAR:
```
Na2CeErO4
1.0
3.485 0.000 0.000
0.000 6.062 0.105
0.000 -2.118 5.572
O Na Ce Er
4 2 1 1
direct
0.500 0.750 0.785
0.000 0.727 0.210
0.000 0.273 0.790
0.500 0.250 0.215
0.000 0.500 0.500
0.500 0.000 0.500
0.000 0.000 0.000
0.500 0.500 0.000
```

Results
Raw total energy   -6.815 eV/atom
Energy relative to the elements, uncorrected   -2.69 eV/atom
Crystal system   monoclinic

***

An optimized crystal structure of Na4CeEr3S8. Source: Alexandria via LeMat-Bulk, functional PBE.

Geometry as POSCAR:
```
Na4CeEr3S8
1.0
7.999 0.000 0.000
0.000 8.115 0.073
-4.000 -3.996 5.659
S Er Na Ce
8 3 4 1
direct
0.733 0.728 0.981
0.753 0.272 0.506
0.259 0.276 0.517
0.267 0.272 0.019
0.247 0.728 0.981
0.753 0.272 0.019
0.247 0.728 0.494
0.741 0.724 0.483
0.500 0.500 0.000
0.000 0.500 0.500
0.500 0.500 0.500
0.500 0.000 0.000
0.000 0.000 0.000
0.500 0.000 0.500
0.000 0.000 0.500
0.000 0.500 0.000
```

Results
Raw total energy   -5.436 eV/atom
Energy relative to the elements, uncorrected   -1.82 eV/atom
Crystal system   trigonal

***

An optimized crystal structure of Na3Ce3ErS8. Source: Alexandria via LeMat-Bulk, functional PBE.

Geometry as POSCAR:
```
Na3Ce3ErS8
1.0
8.177 0.000 0.000
-4.089 7.081 -0.026
0.000 -4.699 6.673
S Ce Er Na
8 3 1 3
direct
0.236 0.472 0.721
0.764 0.528 0.279
0.236 0.984 0.721
0.252 0.016 0.279
0.748 0.984 0.721
0.764 0.016 0.279
0.744 0.488 0.732
0.256 0.512 0.268
0.500 0.000 0.500
0.000 0.500 0.500
0.500 0.500 0.500
0.000 0.000 0.500
0.000 0.000 0.000
0.000 0.500 0.000
0.500 0.500 0.000
```

Results
Raw total energy   -5.739 eV/atom
Energy relative to the elements, uncorrected   -1.78 eV/atom
Crystal system   trigonal

***

An optimized crystal structure of Na2CeErS4. Source: Alexandria via LeMat-Bulk, functional PBE.

Geometry as POSCAR:
```
Na2CeErS4
1.0
4.046 0.000 0.000
0.000 7.012 0.123
0.000 -2.447 6.627
S Er Na Ce
4 1 2 1
direct
0.500 0.747 0.769
0.000 0.267 0.773
0.500 0.253 0.231
0.000 0.733 0.227
0.500 0.500 0.000
0.500 0.000 0.500
0.000 0.500 0.500
0.000 0.000 0.000
```

Results
Raw total energy   -5.489 eV/atom
Energy relative to the elements, uncorrected   -1.78 eV/atom
Crystal system   monoclinic

***

An optimized crystal structure of NaCeErS4. Source: Alexandria via LeMat-Bulk, functional PBE.

Geometry as POSCAR:
```
NaCeErS4
1.0
-7.360 0.712 -2.989
-5.127 -6.301 0.483
-6.328 0.585 5.082
Ce Na S Er
2 2 8 2
direct
0.000 0.500 0.500
0.000 0.000 0.000
0.365 0.385 0.885
0.635 0.615 0.115
0.763 0.208 0.266
0.788 0.238 0.738
0.236 0.238 0.738
0.237 0.234 0.292
0.212 0.762 0.262
0.237 0.792 0.734
0.763 0.766 0.708
0.764 0.762 0.262
0.500 0.000 0.500
0.000 0.000 0.500
```

Results
Raw total energy   -5.829 eV/atom
Energy relative to the elements, uncorrected   -1.78 eV/atom
Crystal system   orthorhombic

***

An optimized crystal structure of Na4CeEr3Se8. Source: Alexandria via LeMat-Bulk, functional PBE.

Geometry as POSCAR:
```
Na4CeEr3Se8
1.0
-3.536 -0.292 -7.528
0.088 -8.478 0.287
-3.651 4.257 6.149
Se Er Na Ce
8 3 4 1
direct
0.258 0.273 0.515
0.752 0.269 0.504
0.248 0.731 0.983
0.735 0.731 0.983
0.742 0.727 0.485
0.752 0.269 0.017
0.265 0.269 0.017
0.248 0.731 0.496
0.000 0.500 0.500
0.500 0.500 0.000
0.500 0.500 0.500
0.500 0.000 0.000
0.000 0.000 0.000
0.500 0.000 0.500
0.000 0.000 0.500
0.000 0.500 0.000
```

Results
Raw total energy   -4.975 eV/atom
Energy relative to the elements, uncorrected   -1.68 eV/atom
Crystal system   trigonal

***

An optimized crystal structure of Na2CeErSe4. Source: Alexandria via LeMat-Bulk, functional PBE.

Geometry as POSCAR:
```
Na2CeErSe4
1.0
-2.243 3.485 0.734
-2.708 -3.020 6.061
6.213 3.647 1.669
Se Na Er Ce
4 2 1 1
direct
0.500 0.746 0.766
0.000 0.265 0.770
0.000 0.735 0.230
0.500 0.254 0.234
0.000 0.500 0.500
0.500 0.000 0.500
0.500 0.500 0.000
0.000 0.000 0.000
```

Results
Raw total energy   -5.037 eV/atom
Energy relative to the elements, uncorrected   -1.65 eV/atom
Crystal system   monoclinic

***

An optimized crystal structure of Na2Ce3ErSe6. Source: Alexandria via LeMat-Bulk, functional PBE.

Geometry as POSCAR:
```
Na2Ce3ErSe6
1.0
7.268 0.004 0.006
-3.628 6.298 0.006
-1.209 -2.093 6.863
Se Ce Na Er
6 3 2 1
direct
0.919 0.596 0.758
0.081 0.404 0.242
0.404 0.081 0.242
0.761 0.761 0.249
0.596 0.919 0.758
0.239 0.239 0.751
0.172 0.828 0.500
0.500 0.500 0.500
0.828 0.172 0.500
0.335 0.665 0.000
0.665 0.335 0.000
0.000 0.000 0.000
```

Results
Raw total energy   -5.493 eV/atom
Energy relative to the elements, uncorrected   -1.67 eV/atom
Crystal system   monoclinic

***

An optimized crystal structure of Na2CeEr2Se6. Source: Alexandria via LeMat-Bulk, functional PBE.

Geometry as POSCAR:
```
Na2CeEr2Se6
1.0
7.156 -0.026 0.079
-3.560 6.208 0.079
-1.274 -2.190 6.977
Se Na Ce Er
6 2 1 2
direct
0.741 0.741 0.725
0.259 0.259 0.275
0.073 0.409 0.725
0.591 0.927 0.275
0.927 0.591 0.275
0.409 0.073 0.725
0.167 0.833 0.000
0.833 0.167 0.000
0.000 0.000 0.500
0.334 0.666 0.500
0.666 0.334 0.500
```

Results
Raw total energy   -5.172 eV/atom
Energy relative to the elements, uncorrected   -1.66 eV/atom
Crystal system   monoclinic

***

An optimized crystal structure of Na3Ce2ErSe6. Source: Alexandria via LeMat-Bulk, functional PBE.

Geometry as POSCAR:
```
Na3Ce2ErSe6
1.0
7.349 -0.001 0.000
-3.674 6.365 0.000
-1.226 -2.124 6.973
Ce Na Er Se
2 3 1 6
direct
0.333 0.667 0.000
0.667 0.333 0.000
0.500 0.500 0.500
0.167 0.833 0.500
0.833 0.167 0.500
0.000 0.000 0.000
0.599 0.922 0.767
0.078 0.401 0.233
0.401 0.078 0.233
0.754 0.754 0.232
0.246 0.246 0.768
0.922 0.599 0.767
```

Results
Raw total energy   -5.083 eV/atom
Energy relative to the elements, uncorrected   -1.64 eV/atom
Crystal system   monoclinic

***

An optimized crystal structure of Na3Ce2ErTe6. Source: Alexandria via LeMat-Bulk, functional PBE.

Geometry as POSCAR:
```
Na3Ce2ErTe6
1.0
7.833 -0.001 -0.001
-3.916 6.784 -0.001
-1.308 -2.264 7.520
Na Te Ce Er
3 6 2 1
direct
0.831 0.169 0.500
0.169 0.831 0.500
0.500 0.500 0.500
0.756 0.756 0.236
0.079 0.402 0.236
0.921 0.598 0.764
0.598 0.921 0.764
0.402 0.079 0.236
0.244 0.244 0.764
0.666 0.334 0.000
0.334 0.666 0.000
0.000 0.000 0.000
```

Results
Raw total energy   -4.539 eV/atom
Energy relative to the elements, uncorrected   -1.27 eV/atom
Crystal system   monoclinic